[1]
Compound: TlCr3H
Source: the Alexandria database
Functional: GGA-PBE
Structure: relaxed

```
5
Lattice="-2.110 -4.793 -0.319 3.879 -1.905 2.976 -2.835 0.961 4.309" Properties=species:S:1:pos:R:3 pbc="T T T"
Tl 0.000 0.000 0.000
H -0.533 -2.869 3.483
Cr 1.939 -0.953 1.488
Cr -1.055 -2.397 -0.159
Cr -1.417 0.481 2.155
```

Theoretical density in g/cm³: 4.2
Energy above the lowest structure with this stoichiometry in eV per formula unit: 6.98

***

[2]
Compound: TlCr2H
Source: the Alexandria database
Functional: GGA-PBE
Structure: relaxed

```
4
Lattice="0.000 3.180 3.180 3.180 0.000 3.180 3.180 3.180 0.000" Properties=species:S:1:pos:R:3 pbc="T T T"
Cr 4.771 4.771 4.771
H 0.000 0.000 0.000
Tl 3.180 3.180 3.180
Cr 1.590 1.590 1.590
```

Theoretical density in g/cm³: 8.0
Energy above the lowest structure with this stoichiometry in eV per formula unit: 1.85

***

[3]
Compound: TlCr2H2
Source: the Alexandria database
Functional: GGA-PBE
Structure: relaxed

```
5
Lattice="-1.798 1.344 -2.071 0.828 -2.086 -2.072 -4.719 -3.614 -0.499" Properties=species:S:1:pos:R:3 pbc="T T T"
H -3.501 -1.321 -2.321
Tl 0.000 0.000 0.000
H -2.188 -3.035 -2.322
Cr -1.981 -1.517 -1.516
Cr -3.708 -2.839 -3.127
```

Theoretical density in g/cm³: 9.9
Total energy in eV per atom: -5.3103

***

[4]
Compound: TlCr3H
Source: the Alexandria database
Functional: GGA-PBE
Structure: relaxed

```
5
Lattice="3.885 0.000 0.000 0.000 3.885 0.000 0.000 0.000 3.885" Properties=species:S:1:pos:R:3 pbc="T T T"
H 0.000 0.000 0.000
Tl 1.943 1.943 1.943
Cr 0.000 0.000 1.943
Cr 1.943 0.000 0.000
Cr 0.000 1.943 0.000
```

Theoretical density in g/cm³: 10.2
Energy above the lowest structure with this stoichiometry in eV per formula unit: 0.00

***

[5]
Compound: TlCr2H
Source: the Alexandria database
Functional: GGA-PBE
Structure: relaxed

```
8
Lattice="-2.483 4.037 1.158 -3.029 -0.789 -3.743 -5.441 -0.796 1.390" Properties=species:S:1:pos:R:3 pbc="T T T"
Cr -2.670 1.216 0.314
Cr -8.146 2.442 -0.283
Tl 0.000 0.000 0.000
Tl -5.339 2.432 0.628
H -5.612 0.020 -1.823
Cr -6.904 0.424 -0.863
H -2.756 1.624 -1.292
Cr -4.184 0.822 -1.558
```

Theoretical density in g/cm³: 9.6
Energy above the lowest structure with this stoichiometry in eV per formula unit: 0.00

***

[6]
Compound: Tl2CrH4
Source: the Alexandria database
Functional: GGA-PBE
Structure: relaxed

```
7
Lattice="3.616 0.000 0.000 0.000 3.616 0.000 1.808 1.808 7.254" Properties=species:S:1:pos:R:3 pbc="T T T"
H 1.808 0.000 0.000
Tl 3.616 3.616 5.049
H 3.616 3.616 1.729
Cr 0.000 0.000 0.000
Tl 1.808 1.808 2.205
H 1.808 1.808 5.525
H 0.000 1.808 0.000
```

Theoretical density in g/cm³: 8.1
Total energy in eV per atom: -3.7570

***

[7]
Compound: TlCrH3
Source: the Alexandria database
Functional: GGA-PBE
Structure: relaxed

```
5
Lattice="-3.706 -0.850 -0.240 0.625 -1.792 -3.303 0.624 -3.252 1.882" Properties=species:S:1:pos:R:3 pbc="T T T"
Cr 0.000 0.000 0.000
H 0.312 -0.896 -1.652
H -1.853 -0.425 -0.120
H 0.312 -1.626 0.941
Tl -1.228 -2.947 -0.830
```

Theoretical density in g/cm³: 7.8
Energy above the lowest structure with this stoichiometry in eV per formula unit: 0.00

***

[8]
Compound: Tl2CrHW
Source: the Alexandria database
Functional: GGA-PBE
Structure: relaxed

```
5
Lattice="-3.182 -0.973 4.405 -2.433 -2.986 -2.417 3.410 -4.048 1.569" Properties=species:S:1:pos:R:3 pbc="T T T"
Cr -1.216 -1.493 -1.208
H -1.102 -4.003 1.779
W 0.000 0.000 0.000
Tl -1.591 -0.486 2.203
Tl 1.705 -2.024 0.785
```

Theoretical density in g/cm³: 7.7
Total energy in eV per atom: -4.6573

***

[9]
Compound: TlCrHW2
Source: the Alexandria database
Functional: GGA-PBE
Structure: relaxed

```
5
Lattice="4.853 0.000 0.000 0.000 3.191 0.000 0.000 0.000 4.853" Properties=species:S:1:pos:R:3 pbc="T T T"
Cr 0.000 0.000 0.000
W 2.426 0.000 0.000
H 0.000 1.596 0.000
Tl 2.426 1.596 2.426
W 0.000 0.000 2.426
```

Theoretical density in g/cm³: 13.8
Total energy in eV per atom: -6.9691

***

[10]
Compound: Y2TlCrH
Source: the Alexandria database
Functional: GGA-PBE
Structure: relaxed

```
5
Lattice="-3.741 -2.439 2.479 3.469 -2.355 2.918 -0.191 2.914 2.579" Properties=species:S:1:pos:R:3 pbc="T T T"
H 0.000 0.000 0.000
Tl -0.232 -0.940 3.988
Cr -0.096 1.457 1.289
Y 1.734 -1.177 1.459
Y -1.871 -1.220 1.239
```

Theoretical density in g/cm³: 7.1
Total energy in eV per atom: -5.7612

***

[11]
Compound: Zr2TlCrH
Source: the Alexandria database
Functional: GGA-PBE
Structure: relaxed

```
5
Lattice="4.653 0.000 0.000 0.000 4.653 0.000 0.000 0.000 3.734" Properties=species:S:1:pos:R:3 pbc="T T T"
H 0.000 0.000 0.000
Zr 0.000 2.326 0.000
Tl 2.326 2.326 1.867
Cr 0.000 0.000 1.867
Zr 2.326 0.000 0.000
```

Theoretical density in g/cm³: 9.0
Total energy in eV per atom: -6.4847

***

[12]
Compound: TmCr2H8
Source: the Alexandria database
Functional: GGA-PBE
Structure: relaxed

```
11
Lattice="-1.197 -3.090 -2.362 -0.932 -2.171 3.313 -4.530 1.818 -0.083" Properties=species:S:1:pos:R:3 pbc="T T T"
Cr -0.466 -1.086 1.657
H -4.595 -0.933 1.968
Tm -3.330 -1.722 0.434
H -5.252 -2.630 0.671
Cr -0.598 -1.545 -1.181
H -2.577 -3.704 0.720
H -4.083 0.260 0.148
H -2.065 -2.511 -1.100
H -1.920 -2.006 2.017
H -4.740 -1.437 -1.149
H -1.408 -0.814 0.197
```

Theoretical density in g/cm³: 5.8
Total energy in eV per atom: -4.7245

***

[13]
Compound: TmCrH
Source: the Alexandria database
Functional: GGA-PBE
Structure: relaxed

```
6
Lattice="-1.463 2.551 0.899 -0.679 -2.702 1.301 7.008 1.576 6.930" Properties=species:S:1:pos:R:3 pbc="T T T"
Tm 3.600 2.003 5.434
Cr -0.096 -0.637 1.651
Tm 1.316 1.489 3.175
H 2.719 -0.006 4.439
Cr 5.538 0.630 7.222
H -1.044 0.960 0.837
```

Theoretical density in g/cm³: 9.0
Total energy in eV per atom: -5.5209

***

[14]
Compound: TmCrH3
Source: the Alexandria database
Functional: GGA-PBE
Structure: relaxed

```
5
Lattice="3.501 0.000 0.000 0.000 3.501 0.000 0.000 0.000 3.501" Properties=species:S:1:pos:R:3 pbc="T T T"
Cr 0.000 0.000 0.000
H 0.000 1.751 0.000
Tm 1.751 1.751 1.751
H 0.000 0.000 1.751
H 1.751 0.000 0.000
```

Theoretical density in g/cm³: 8.7
Total energy in eV per atom: -5.1061